# 1
## La5DyAs6 (PBE)

Data for an optimized crystal structure of La5DyAs6.

Summary:
Formation energy in meV/atom: -1558
Symmetry: C2/m

Lattice parameters (Å, degrees): 7.508 7.510 7.509 60.00 80.40 70.52
Element x y z (fractional)
As 0.246 0.244 0.000
As 0.755 0.082 0.326
As 0.245 0.592 0.326
As 0.755 0.408 0.674
As 0.245 0.918 0.674
As 0.754 0.756 0.000
Dy 0.000 0.000 0.000
La 0.000 0.334 0.333
La 0.500 0.832 0.335
La 0.000 0.666 0.667
La 0.500 0.500 0.000
La 0.500 0.168 0.665

# 2
## Dy2MnAl3 (PBE)

Data for an optimized crystal structure of Dy2MnAl3.

Summary:
Formation energy in meV/atom: -414
Symmetry: R-3m

Lattice parameters (Å, degrees): 5.571 5.571 5.453 89.99 120.71 120.02
Element x y z (fractional)
Al 0.000 0.000 0.500
Al 0.500 0.500 0.500
Al 0.500 0.000 0.500
Dy 0.252 0.626 0.879
Dy 0.748 0.374 0.121
Mn 0.000 0.000 0.000

# 3
## BaCa2La (PBE)

Data for an optimized crystal structure of BaCa2La.

Summary:
Formation energy in meV/atom: 110
Symmetry: P2/m

Lattice parameters (Å, degrees): 6.274 3.809 7.544 78.55 90.00 90.00
Element x y z (fractional)
Ba 0.500 0.750 0.750
La 0.500 0.250 0.250
Ca 0.000 0.512 0.486
Ca 0.000 0.988 0.014

# 4
## ZnCoSN2 (PBE)

Data for an optimized crystal structure of ZnCoSN2.

Summary:
Formation energy (no corrections) in kJ per mole of atoms: 79.6
Symmetry: P4/mmm

Lattice parameters (Å, degrees): 3.534 3.534 5.323 90.00 90.00 90.00
Element x y z (fractional)
N 0.500 0.000 0.000
N 0.000 0.500 0.000
Co 0.000 0.000 0.000
S 0.000 0.000 0.500
Zn 0.500 0.500 0.500

# 5
## Cs2HfTcBr6 (PBE)

Data for an optimized crystal structure of Cs2HfTcBr6.

Summary:
Formation energy (no corrections) in kJ per mole of atoms: -91.0
Symmetry: Fm-3m

Lattice parameters (Å, degrees): 7.771 7.771 7.771 60.00 60.00 90.00
Element x y z (fractional)
Cs 0.250 0.750 0.500
Cs 0.750 0.250 0.500
Br 0.244 0.756 0.000
Br 0.756 0.756 0.487
Br 0.244 0.244 0.000
Br 0.756 0.244 0.000
Br 0.756 0.756 0.000
Br 0.244 0.244 0.513
Tc 0.500 0.500 0.000
Hf 0.000 0.000 0.000

# 6
## Dy2Tm2N3 (PBE)

Data for an optimized crystal structure of Dy2Tm2N3.

Summary:
Formation energy (no corrections) in kJ per mole of atoms: -143.9
Symmetry: C2/m

Lattice parameters (Å, degrees): 3.449 6.011 5.984 99.41 106.75 90.00
Element x y z (fractional)
N 0.748 0.245 0.496
N 0.000 0.000 0.000
N 0.252 0.755 0.504
Tm 0.626 0.888 0.252
Tm 0.374 0.112 0.748
Dy 0.132 0.366 0.265
Dy 0.868 0.634 0.735

# 7
## Pr6NdHo3 (PBE)

Data for an optimized crystal structure of Pr6NdHo3.

Summary:
Formation energy in meV/atom: 124
Symmetry: Cmc2_1

Lattice parameters (Å, degrees): 6.535 11.873 11.873 130.78 90.00 90.00
Element x y z (fractional)
Pr 0.578 0.262 0.381
Pr 0.328 0.108 0.544
Pr 0.078 0.738 0.619
Pr 0.784 0.014 0.986
Pr 0.284 0.986 0.014
Pr 0.328 0.456 0.892
Pr 0.578 0.619 0.738
Pr 0.306 0.701 0.299
Pr 0.828 0.544 0.108
Pr 0.806 0.299 0.701
Pr 0.078 0.381 0.262
Pr 0.828 0.892 0.456
Ho 0.488 0.295 0.041
Ho 0.097 0.419 0.581
Ho 0.488 0.959 0.705
Ho 0.988 0.705 0.959
Ho 0.597 0.581 0.419
Ho 0.988 0.041 0.295
Nd 0.511 0.846 0.154
Nd 0.011 0.154 0.846

# 8
## AlTcGe (PBE)

Data for an optimized crystal structure of AlTcGe.

Summary:
Formation energy in meV/atom: 5
Symmetry: P-6m2

Lattice parameters (Å, degrees): 3.156 4.185 4.185 120.00 90.00 90.00
Element x y z (fractional)
Tc 0.167 0.333 0.667
Ge 0.166 0.000 0.000
Al 0.667 0.667 0.333

# 9
## SrNd2Si6 (PBE)

Data for an optimized crystal structure of SrNd2Si6.

Summary:
Formation energy (no corrections) in kJ per mole of atoms: -45.6
Symmetry: P6/mmm

Lattice parameters (Å, degrees): 4.276 7.188 7.188 120.00 90.00 90.00
Element x y z (fractional)
Si 0.500 0.663 0.000
Si 0.500 0.663 0.663
Si 0.500 0.000 0.337
Si 0.500 0.000 0.663
Si 0.500 0.337 0.000
Si 0.500 0.337 0.337
Sr 0.000 0.000 0.000
Nd 0.000 0.333 0.667
Nd 0.000 0.667 0.333

# 10
## PmPr8Pb6 (PBE)

Data for an optimized crystal structure of PmPr8Pb6.

Summary:
Formation energy in meV/atom: -408
Symmetry: R-3

Lattice parameters (Å, degrees): 9.554 9.554 8.704 56.71 56.71 60.00
Element x y z (fractional)
Pr 0.666 0.666 0.001
Pr 0.563 0.233 0.306
Pr 0.898 0.563 0.306
Pr 0.233 0.898 0.306
Pr 0.767 0.102 0.694
Pr 0.334 0.334 0.999
Pr 0.437 0.767 0.694
Pr 0.102 0.437 0.694
Pm 0.000 0.000 0.000
Pb 0.400 0.069 0.793
Pb 0.931 0.262 0.207
Pb 0.069 0.738 0.793
Pb 0.600 0.931 0.207
Pb 0.262 0.600 0.207
Pb 0.738 0.400 0.793

# 11
## Ac2AlZnIn6 (PBE)

Data for an optimized crystal structure of Ac2AlZnIn6.

Summary:
Formation energy in meV/atom: -145
Symmetry: R-3m

Lattice parameters (Å, degrees): 7.218 7.218 13.241 74.18 74.18 60.00
Element x y z (fractional)
In 0.672 0.223 0.881
In 0.223 0.223 0.881
In 0.328 0.777 0.119
In 0.223 0.672 0.881
In 0.661 0.661 0.608
In 0.661 0.070 0.608
In 0.777 0.777 0.119
In 0.339 0.339 0.392
In 0.070 0.661 0.608
In 0.930 0.339 0.392
In 0.777 0.328 0.119
In 0.339 0.930 0.392
Al 0.570 0.570 0.289
Al 0.430 0.430 0.711
Zn 0.000 0.000 0.000
Zn 0.500 0.500 0.500
Ac 0.887 0.887 0.340
Ac 0.290 0.290 0.129
Ac 0.710 0.710 0.871
Ac 0.113 0.113 0.660

# 12
## TiTeSe2N (PBE)

Data for an optimized crystal structure of TiTeSe2N.

Summary:
Formation energy (no corrections) in kJ per mole of atoms: -3.4
Symmetry: P4/mmm

Lattice parameters (Å, degrees): 5.189 5.189 3.764 90.00 90.00 90.00
Element x y z (fractional)
N 0.000 0.000 0.500
Se 0.500 0.000 0.000
Se 0.000 0.500 0.000
Ti 0.000 0.000 0.000
Te 0.500 0.500 0.500

# 13
## BaTa2H (PBE)

Data for an optimized crystal structure of BaTa2H.

Summary:
Symmetry: Fm-3m
E_tot in eV per atom: -5.0979

Lattice parameters (Å, degrees): 4.764 4.764 4.764 60.00 60.00 60.00
Element x y z (fractional)
Ta 0.250 0.250 0.250
Ta 0.750 0.750 0.750
Ba 0.500 0.500 0.500
H 0.000 0.000 0.000

# 14
## NiRh3 (PBE)

Data for an optimized crystal structure of NiRh3.

Summary:
Formation energy in meV/atom: 318
Symmetry: R-3m

Lattice parameters (Å, degrees): 5.003 5.003 5.003 116.91 116.91 116.91
Element x y z (fractional)
Rh 0.500 0.000 0.500
Rh 0.000 0.500 0.500
Rh 0.500 0.500 0.000
Ni 0.000 0.000 0.000

# 15
## PuSi2Se8 (PBE)

Data for an optimized crystal structure of PuSi2Se8.

Summary:
Formation energy (no corrections) in kJ per mole of atoms: -13.9
Symmetry: P-3m1

Lattice parameters (Å, degrees): 7.047 7.303 7.303 120.00 90.00 90.00
Element x y z (fractional)
Se 0.179 0.667 0.333
Se 0.821 0.333 0.667
Se 0.760 0.837 0.675
Se 0.760 0.837 0.163
Se 0.240 0.163 0.837
Se 0.760 0.325 0.163
Se 0.240 0.163 0.325
Se 0.240 0.675 0.837
Pu 0.500 0.000 0.000
Si 0.860 0.667 0.333
Si 0.140 0.333 0.667

# 16
## CsNiSe2Br (PBE)

Data for an optimized crystal structure of CsNiSe2Br.

Summary:
Formation energy (no corrections) in kJ per mole of atoms: 120.3
Symmetry: P4/mmm

Lattice parameters (Å, degrees): 5.762 5.762 6.555 90.00 90.00 90.00
Element x y z (fractional)
Se 0.000 0.500 0.000
Se 0.500 0.000 0.000
Cs 0.000 0.000 0.000
Ni 0.500 0.500 0.500
Br 0.000 0.000 0.500

# 17
## LiCrB2 (PBE)

Data for an optimized crystal structure of LiCrB2.

Summary:
Formation energy in meV/atom: 655
Symmetry: I-42d

Lattice parameters (Å, degrees): 5.493 5.493 4.529 52.66 52.66 90.00
Element x y z (fractional)
B 0.619 0.125 0.250
B 0.131 0.625 0.250
B 0.375 0.381 0.750
B 0.875 0.869 0.750
Cr 0.750 0.250 0.500
Cr 0.000 0.000 0.000
Li 0.250 0.750 0.500
Li 0.500 0.500 0.000

# 18
## MnTl3Cr2Se6 (PBE)

Data for an optimized crystal structure of MnTl3Cr2Se6.

Summary:
Formation energy (no corrections) in kJ per mole of atoms: -44.8
Symmetry: C2/m

Lattice parameters (Å, degrees): 6.617 6.617 7.850 98.00 98.00 120.03
Element x y z (fractional)
Se 0.604 0.940 0.820
Se 0.724 0.724 0.178
Se 0.396 0.060 0.180
Se 0.276 0.276 0.822
Se 0.060 0.396 0.180
Se 0.940 0.604 0.820
Tl 0.166 0.834 0.500
Tl 0.500 0.500 0.500
Tl 0.834 0.166 0.500
Cr 0.333 0.667 0.000
Cr 0.667 0.333 0.000
Mn 0.000 0.000 0.000

# 19
## La2PmY (PBE)

Data for an optimized crystal structure of La2PmY.

Summary:
Formation energy in meV/atom: 14
Symmetry: P4/mmm

Lattice parameters (Å, degrees): 5.133 5.222 5.222 90.00 90.00 90.00
Element x y z (fractional)
Y 0.500 0.500 0.500
Pm 0.500 0.000 0.000
La 0.000 0.000 0.500
La 0.000 0.500 0.000

# 20
## Mg5Cd7 (PBE)

Data for an optimized crystal structure of Mg5Cd7.

Summary:
Formation energy in meV/atom: -28
Symmetry: C2/m

Lattice parameters (Å, degrees): 4.497 5.221 13.020 94.26 90.00 115.51
Element x y z (fractional)
Cd 0.844 0.689 0.327
Cd 0.156 0.311 0.673
Cd 0.295 0.589 0.925
Cd 0.879 0.759 0.779
Cd 0.121 0.241 0.221
Cd 0.705 0.411 0.075
Cd 0.500 0.000 0.500
Mg 0.178 0.355 0.437
Mg 0.416 0.832 0.167
Mg 0.000 0.000 0.000
Mg 0.822 0.645 0.563
Mg 0.584 0.168 0.833

# 21
## LiNd2PaSe5 (PBE)

Data for an optimized crystal structure of LiNd2PaSe5.

Summary:
Formation energy (no corrections) in kJ per mole of atoms: -151.5
Symmetry: Cmc2_1

Lattice parameters (Å, degrees): 4.103 8.917 12.624 90.00 90.00 103.30
Element x y z (fractional)
Se 0.049 0.098 0.068
Se 0.365 0.730 0.000
Se 0.312 0.624 0.347
Se 0.951 0.902 0.568
Se 0.503 0.005 0.279
Se 0.635 0.270 0.500
Se 0.714 0.428 0.166
Se 0.688 0.376 0.847
Se 0.286 0.572 0.666
Se 0.497 0.995 0.779
Pa 0.200 0.401 0.006
Pa 0.800 0.599 0.506
Nd 0.128 0.256 0.298
Nd 0.108 0.216 0.689
Nd 0.892 0.784 0.189
Nd 0.872 0.744 0.798
Li 0.520 0.041 0.970
Li 0.480 0.959 0.470

# 22
## Ce2ErHg (PBE)

Data for an optimized crystal structure of Ce2ErHg.

Summary:
Formation energy in meV/atom: -118
Symmetry: P4/mmm

Lattice parameters (Å, degrees): 5.290 4.472 4.472 90.00 90.00 90.00
Element x y z (fractional)
Ce 0.000 0.000 0.500
Ce 0.000 0.500 0.000
Hg 0.500 0.000 0.000
Er 0.500 0.500 0.500

# 23
## Sc3SiP (PBE)

Data for an optimized crystal structure of Sc3SiP.

Summary:
Formation energy (no corrections) in kJ per mole of atoms: -51.8
Symmetry: Pm-3m

Lattice parameters (Å, degrees): 4.800 4.800 4.800 90.00 90.00 90.00
Element x y z (fractional)
P 0.000 0.000 0.000
Si 0.500 0.500 0.500
Sc 0.000 0.000 0.500
Sc 0.000 0.500 0.000
Sc 0.500 0.000 0.000

# 24
## AsH2 (PBE)

Data for an optimized crystal structure of AsH2.

Summary:
Symmetry: P1
E_tot in eV per atom: -3.6082

Lattice parameters (Å, degrees): 2.555 2.603 6.859 78.15 81.27 88.03
Element x y z (fractional)
H 0.989 0.295 0.559
H 0.822 0.381 0.647
As 0.399 0.329 0.103